(1)
Density functional theory data (PBE) for a relaxed structure of Tl3PtPb.

Cell: 7.193 7.193 6.951 Å, 116.80 116.80 79.44°
Positions (direct):
Tl1 0.049 0.049 0.319
Tl2 0.053 0.451 0.229
Tl3 0.451 0.053 0.229
Tl4 0.549 0.947 0.771
Tl5 0.947 0.549 0.771
Tl6 0.951 0.951 0.681
Pt1 0.257 0.257 0.872
Pt2 0.743 0.743 0.128
Pb1 0.447 0.447 0.715
Pb2 0.553 0.553 0.285

Properties
Mass density, g/cm³: 11.77

---

(2)
Density functional theory data (PBE) for a relaxed structure of Tl3PtPb.

Cell: 5.382 5.382 5.382 Å, 90.00 90.00 90.00°
Positions (direct):
Tl1 0.000 0.000 0.500
Tl2 0.000 0.500 0.000
Tl3 0.500 0.000 0.000
Pt1 0.000 0.000 0.000
Pb1 0.500 0.500 0.500

Properties
Mass density, g/cm³: 10.81

---

Least stable = (2)

---

(1)
Density functional theory data (PBE) for a relaxed structure of Tl2PtPb2.

Cell: 7.254 7.254 5.550 Å, 90.00 90.00 90.00°
Positions (direct):
Tl1 0.167 0.333 0.000
Tl2 0.333 0.833 0.000
Tl3 0.667 0.167 0.000
Tl4 0.833 0.667 0.000
Pt1 0.000 0.000 0.500
Pt2 0.500 0.500 0.500
Pb1 0.154 0.654 0.500
Pb2 0.346 0.154 0.500
Pb3 0.654 0.846 0.500
Pb4 0.846 0.346 0.500

Properties
Mass density, g/cm³: 11.58

---

(2)
Density functional theory data (PBE) for a relaxed structure of Tl2PtPb2.

Cell: 7.256 7.256 5.272 Å, 90.00 90.00 90.00°
Positions (direct):
Tl1 0.152 0.348 0.000
Tl2 0.348 0.848 0.000
Tl3 0.652 0.152 0.000
Tl4 0.848 0.652 0.000
Pt1 0.000 0.000 0.000
Pt2 0.500 0.500 0.000
Pb1 0.166 0.666 0.500
Pb2 0.334 0.166 0.500
Pb3 0.666 0.834 0.500
Pb4 0.834 0.334 0.500

Properties
Mass density, g/cm³: 12.18

---

Least stable = (2)

---

(1)
Density functional theory data (PBE) for a relaxed structure of TlPtPb.

Cell: 6.738 6.738 6.738 Å, 150.45 150.24 42.44°
Positions (direct):
Tl1 0.000 0.000 0.000
Pt1 0.354 0.354 0.000
Pb1 0.724 0.724 0.000

Properties
Mass density, g/cm³: 13.49

---

(2)
Density functional theory data (PBE) for a relaxed structure of TlPtPb.

Cell: 4.787 4.787 4.787 Å, 60.00 60.00 60.00°
Positions (direct):
Tl1 0.000 0.000 0.000
Pt1 0.750 0.750 0.750
Pb1 0.500 0.500 0.500

Properties
Mass density, g/cm³: 12.99

---

Least stable = (1)